Compound: BaAcAgO4
Source: Alexandria via LeMat-Bulk
Functional: PBE-GGA
Structure: relaxed

Unit cell a=6.8026 b=4.6603 c=8.5043 alpha=90.00 beta=110.77 gamma=90.00
With the nearest neighbours (Å) after each atom.
Fractional positions:
Ba1 0.7098 0.7500 0.9746  3 O 2.59-2.61
Ba2 0.2902 0.2500 0.0254  3 O 2.59-2.61
Ac1 0.7088 0.7500 0.4366  6 O 2.50-2.76
Ac2 0.2912 0.2500 0.5634  6 O 2.50-2.76
Ag1 0.2103 0.7500 0.2651  4 O 2.27-2.44
Ag2 0.7897 0.2500 0.7349  4 O 2.27-2.44
O1 0.0428 0.5864 0.7190  1 O 1.52
O2 0.9572 0.0864 0.2810  1 O 1.52
O3 0.9572 0.4136 0.2810  1 O 1.52
O4 0.0428 0.9136 0.7190  1 O 1.52
O5 0.4531 0.7500 0.1385  1 Ag 2.27, 1 Ac 2.51
O6 0.5469 0.2500 0.8615  1 Ag 2.27, 1 Ac 2.51
O7 0.4265 0.7500 0.5640  1 Ag 2.44, 3 Ac 2.50-2.52
O8 0.5735 0.2500 0.4360  1 Ag 2.44, 3 Ac 2.50-2.52

Space group: P2_1/m, No. 11
ρ: 7.1 g cm⁻³



Compound: BaAcAg2O5
Source: Alexandria via LeMat-Bulk
Functional: PBE-GGA
Structure: relaxed

Unit cell a=4.2496 b=4.2496 c=8.0245 alpha=90.00 beta=90.00 gamma=90.00
With the nearest neighbours (Å) after each atom.
Fractional positions:
Ba1 0.0000 0.0000 0.5000  12 O 3.00-3.23
Ac1 0.0000 0.0000 0.0000  8 O 2.65
Ag1 0.5000 0.5000 0.2246  5 O 2.14-2.21
Ag2 0.5000 0.5000 0.7754  5 O 2.14-2.21
O1 0.0000 0.5000 0.1964  2 Ag 2.14
O2 0.5000 0.0000 0.1964  2 Ag 2.14
O3 0.0000 0.5000 0.8036  2 Ag 2.14
O4 0.5000 0.0000 0.8036  2 Ag 2.14
O5 0.5000 0.5000 0.5000  2 Ag 2.21

Space group: P4/mmm, No. 123
ρ: 7.6 g cm⁻³



Compound: BaAcAg2O4
Source: Alexandria via LeMat-Bulk
Functional: PBE-GGA
Structure: relaxed

Unit cell a=6.2304 b=5.7041 c=5.7041 alpha=66.20 beta=56.90 gamma=56.90
With the nearest neighbours (Å) after each atom.
Fractional positions:
Ba1 0.0000 0.0000 0.0000  8 O 2.80-2.94
Ac1 0.5000 0.5000 0.5000  4 O 2.50
Ag1 0.2500 0.2499 0.2499  4 O 2.23
Ag2 0.7500 0.7501 0.7501  4 O 2.23
O1 0.5002 0.0619 0.4998  2 Ag 2.23
O2 0.0619 0.9381 0.5002  2 Ag 2.23
O3 0.9381 0.4998 0.0619  2 Ag 2.23
O4 0.4998 0.5002 0.9381  2 Ag 2.23

Space group: I-42m, No. 121
ρ: 7.6 g cm⁻³



Listing size of the total moment for the structures above in their given order: 0.0 0.0 0.0 μB/cell.
Listing formation energy from raw total energies for the structures above in their given order: -1819 -1514 -1681 meV/atom.